#i
VASP calculation (PBE) on a relaxed KAuC2 crystal.

Calculated values
Magnetization in Bohr magnetons per cell: 0.000
D(E_F) in states/eV/cell: 0.0

a = 4.3433 Å, b = 4.3433 Å, c = 5.2412 Å
α = 90.00°, β = 90.00°, γ = 90.00°
Space group P4/mmm (No. 123)
Unique sites:
K1 0.0000 0.0000 0.0000 x1
Au1 0.5000 0.5000 0.5000 x1
C1 0.5000 0.5000 0.1191 x2

***

#ii
VASP calculation (PBE) on a relaxed KAuC2 crystal.

Calculated values
Magnetization in Bohr magnetons per cell: 0.000
D(E_F) in states/eV/cell: 4.8

a = 6.1080 Å, b = 6.1080 Å, c = 6.1080 Å
α = 90.00°, β = 90.00°, γ = 90.00°
Space group Fm-3m (No. 225)
Unique sites:
K1 0.0000 0.0000 0.0000 x4
Au1 0.0000 0.0000 0.5000 x4
C1 0.2500 0.2500 0.2500 x8

***

#iii
VASP calculation (PBE) on a relaxed KAuC2 crystal.

Calculated values
Magnetization in Bohr magnetons per cell: 3.876
D(E_F) in states/eV/cell: 11.2

a = 6.4042 Å, b = 6.4042 Å, c = 7.6101 Å
α = 90.00°, β = 90.00°, γ = 90.00°
Space group I-42d (No. 122)
Unique sites:
K1 0.0000 0.0000 0.0000 x4
Au1 0.0000 0.0000 0.5000 x4
C1 0.1301 0.2500 0.6250 x8

***

Of them, #i has the highest stability.

***

#i
VASP calculation (PBE) on a relaxed KAuC2N2 crystal.

Calculated values
Magnetization in Bohr magnetons per cell: 0.000
D(E_F) in states/eV/cell: 0.0

a = 7.5338 Å, b = 7.5338 Å, c = 26.4187 Å
α = 90.00°, β = 90.00°, γ = 120.00°
Space group R-3 (No. 148, hexagonal axes)
Unique sites:
K1 0.0000 0.0000 0.0000 x3
K2 0.0000 0.0000 0.3431 x6
Au1 0.0000 0.5000 0.5000 x9
C1 0.0061 0.4066 0.4299 x18
N1 0.0087 0.3527 0.3883 x18

***

#ii
VASP calculation (PBE) on a relaxed KAuC2N2 crystal.

Calculated values
Magnetization in Bohr magnetons per cell: 0.000

a = 10.2873 Å, b = 10.2873 Å, c = 19.6915 Å
α = 90.00°, β = 90.00°, γ = 120.00°
Space group R-3 (No. 148, hexagonal axes)
Unique sites:
K1 0.0000 0.0000 0.0000 x3
K2 0.0000 0.0000 0.2204 x6
Au1 0.0000 0.5000 0.5000 x9
C1 0.0526 0.4779 0.0003 x18
N1 0.0360 0.8097 0.6685 x18

***

Of them, #i has the highest stability.

***

#i
VASP calculation (PBE) on a relaxed LaAu3C crystal.

Calculated values
Magnetization in Bohr magnetons per cell: 2.000
D(E_F) in states/eV/cell: 6.5

a = 5.7853 Å, b = 5.7853 Å, c = 5.7853 Å
α = 90.00°, β = 90.00°, γ = 90.00°
Space group Pm-3m (No. 221)
Unique sites:
La1 0.0000 0.0000 0.0000 x1
Au1 0.0000 0.0000 0.5000 x3
C1 0.5000 0.5000 0.5000 x1

***

#ii
VASP calculation (PBE) on a relaxed LaAu3C crystal.

Calculated values
Magnetization in Bohr magnetons per cell: 0.000
D(E_F) in states/eV/cell: 2.9

a = 4.6010 Å, b = 4.6010 Å, c = 4.6010 Å
α = 90.00°, β = 90.00°, γ = 90.00°
Space group Pm-3m (No. 221)
Unique sites:
La1 0.0000 0.0000 0.0000 x1
Au1 0.0000 0.5000 0.5000 x3
C1 0.5000 0.5000 0.5000 x1

***

Of them, #ii has the highest stability.

***

#i
VASP calculation (PBE) on a relaxed LaMgAu2C crystal.

Calculated values
Magnetization in Bohr magnetons per cell: 0.000
D(E_F) in states/eV/cell: 3.7

a = 5.0416 Å, b = 5.0416 Å, c = 4.2816 Å
α = 90.00°, β = 90.00°, γ = 90.00°
Space group P4/mmm (No. 123)
Unique sites:
La1 0.0000 0.0000 0.0000 x1
Mg1 0.5000 0.5000 0.5000 x1
Au1 0.0000 0.5000 0.5000 x2
C1 0.5000 0.5000 0.0000 x1

***

#ii
VASP calculation (PBE) on a relaxed LaMgAu2C crystal.

Calculated values
Magnetization in Bohr magnetons per cell: 2.944
D(E_F) in states/eV/cell: 5.0

a = 5.6526 Å, b = 5.6526 Å, c = 6.8757 Å
α = 90.00°, β = 90.00°, γ = 90.00°
Space group P4/mmm (No. 123)
Unique sites:
La1 0.0000 0.0000 0.0000 x1
Mg1 0.0000 0.0000 0.5000 x1
Au1 0.0000 0.5000 0.0000 x2
C1 0.5000 0.5000 0.5000 x1

***

Of them, #i has the highest stability.

***

#i
VASP calculation (PBE) on a relaxed LaY2AuC crystal.

Calculated values
Magnetization in Bohr magnetons per cell: 0.000
D(E_F) in states/eV/cell: 3.1

a = 5.7911 Å, b = 5.7911 Å, c = 4.2199 Å
α = 90.00°, β = 90.00°, γ = 90.00°
Space group P4/mmm (No. 123)
Unique sites:
La1 0.0000 0.0000 0.0000 x1
Y1 0.0000 0.5000 0.0000 x2
Au1 0.5000 0.5000 0.5000 x1
C1 0.0000 0.0000 0.5000 x1

***

#ii
VASP calculation (PBE) on a relaxed LaY2AuC crystal.

Calculated values
Magnetization in Bohr magnetons per cell: 0.001
D(E_F) in states/eV/cell: 4.9

a = 4.8309 Å, b = 4.8309 Å, c = 5.2714 Å
α = 90.00°, β = 90.00°, γ = 90.00°
Space group P4/mmm (No. 123)
Unique sites:
La1 0.0000 0.0000 0.0000 x1
Y1 0.0000 0.5000 0.5000 x2
Au1 0.5000 0.5000 0.0000 x1
C1 0.0000 0.0000 0.5000 x1

***

Of them, #ii has the highest stability.

***

#i
VASP calculation (PBE) on a relaxed LiAuC2 crystal.

Calculated values
Magnetization in Bohr magnetons per cell: 0.000
D(E_F) in states/eV/cell: 8.0

a = 5.1525 Å, b = 5.1525 Å, c = 8.8626 Å
α = 90.00°, β = 90.00°, γ = 90.00°
Space group I-42d (No. 122)
Unique sites:
Li1 0.0000 0.0000 0.0000 x4
Au1 0.0000 0.0000 0.5000 x4
C1 0.2126 0.2500 0.6250 x8

***

#ii
VASP calculation (PBE) on a relaxed LiAuC2 crystal.

Calculated values
Magnetization in Bohr magnetons per cell: 0.000
D(E_F) in states/eV/cell: 3.7

a = 5.4822 Å, b = 5.4822 Å, c = 5.4822 Å
α = 90.00°, β = 90.00°, γ = 90.00°
Space group Fm-3m (No. 225)
Unique sites:
Li1 0.0000 0.0000 0.0000 x4
Au1 0.0000 0.0000 0.5000 x4
C1 0.2500 0.2500 0.2500 x8

***

Of them, #ii has the highest stability.

***

#i
VASP calculation (PBE) on a relaxed LiAu3C crystal.

Calculated values
Magnetization in Bohr magnetons per cell: 0.000
D(E_F) in states/eV/cell: 2.3

a = 4.4220 Å, b = 4.4220 Å, c = 4.4220 Å
α = 90.00°, β = 90.00°, γ = 90.00°
Space group Pm-3m (No. 221)
Unique sites:
Li1 0.0000 0.0000 0.0000 x1
Au1 0.0000 0.0000 0.5000 x3
C1 0.5000 0.5000 0.5000 x1

***

#ii
VASP calculation (PBE) on a relaxed LiAu3C crystal.

Calculated values
Magnetization in Bohr magnetons per cell: 0.000
D(E_F) in states/eV/cell: 0.6

a = 4.3581 Å, b = 4.3581 Å, c = 4.3581 Å
α = 90.00°, β = 90.00°, γ = 90.00°
Space group Pm-3m (No. 221)
Unique sites:
Li1 0.0000 0.0000 0.0000 x1
Au1 0.0000 0.5000 0.5000 x3
C1 0.5000 0.5000 0.5000 x1

***

Of them, #ii has the highest stability.

***

#i
VASP calculation (PBE) on a relaxed LiAuC3 crystal.

Calculated values
Magnetization in Bohr magnetons per cell: 0.000
D(E_F) in states/eV/cell: 1.6

a = 4.1686 Å, b = 4.1686 Å, c = 4.1686 Å
α = 90.00°, β = 90.00°, γ = 90.00°
Space group Pm-3m (No. 221)
Unique sites:
Li1 0.0000 0.0000 0.0000 x1
Au1 0.5000 0.5000 0.5000 x1
C1 0.0000 0.5000 0.5000 x3

***

#ii
VASP calculation (PBE) on a relaxed LiAuC3 crystal.

Calculated values
Magnetization in Bohr magnetons per cell: 0.000
D(E_F) in states/eV/cell: 1.8

a = 3.7672 Å, b = 3.7672 Å, c = 3.7672 Å
α = 90.00°, β = 90.00°, γ = 90.00°
Space group Pm-3m (No. 221)
Unique sites:
Li1 0.0000 0.0000 0.0000 x1
Au1 0.5000 0.5000 0.5000 x1
C1 0.0000 0.0000 0.5000 x3

***

Of them, #i has the highest stability.

***

#i
VASP calculation (PBE) on a relaxed MgMnAuC crystal.

Calculated values
Magnetization in Bohr magnetons per cell: 4.427
D(E_F) in states/eV/cell: 1.9

a = 5.2588 Å, b = 3.0454 Å, c = 7.0177 Å
α = 90.00°, β = 104.52°, γ = 90.00°
Space group Cm (No. 8)
Unique sites:
Mg1 0.0000 0.0000 0.0000 x2
Mn1 0.4445 0.0000 0.3337 x2
Au1 0.2234 0.0000 0.6710 x2
C1 0.2391 0.5000 0.2171 x2

***

#ii
VASP calculation (PBE) on a relaxed MgMnAuC crystal.

Calculated values
Magnetization in Bohr magnetons per cell: 1.156
D(E_F) in states/eV/cell: 4.1

a = 2.7903 Å, b = 2.7704 Å, c = 13.2827 Å
α = 90.00°, β = 90.00°, γ = 90.00°
Space group Amm2 (No. 38)
Unique sites:
Mg1 0.0000 0.0000 0.0000 x2
Mn1 0.0000 0.0000 0.6767 x2
Au1 0.5000 0.0000 0.3487 x2
C1 0.5000 0.0000 0.1472 x2

***

Of them, #i has the highest stability.

***

#i
VASP calculation (PBE) on a relaxed MgMnAuC crystal.

Calculated values
Magnetization in Bohr magnetons per cell: 2.008
D(E_F) in states/eV/cell: 0.8

a = 3.0419 Å, b = 3.0419 Å, c = 6.7347 Å
α = 90.00°, β = 90.00°, γ = 120.00°
Space group P3m1 (No. 156)
Unique sites:
Mg1 0.0000 0.0000 0.0000 x1
Mn1 0.6667 0.3333 0.3337 x1
Au1 0.3333 0.6667 0.6690 x1
C1 0.3333 0.6667 0.2180 x1

***

#ii
VASP calculation (PBE) on a relaxed MgMnAuC crystal.

Calculated values
Magnetization in Bohr magnetons per cell: 4.354
D(E_F) in states/eV/cell: 4.8

a = 3.7251 Å, b = 4.3827 Å, c = 7.5615 Å
α = 90.00°, β = 90.00°, γ = 90.00°
Space group Amm2 (No. 38)
Unique sites:
Mg1 0.0000 0.0000 0.0000 x2
Mn1 0.5000 0.0000 0.6666 x2
Au1 0.5000 0.0000 0.3328 x2
C1 0.0000 0.0000 0.6666 x2

***

Of them, #i has the highest stability.

***

#i
VASP calculation (PBE) on a relaxed MgWAuC2 crystal.

Calculated values
Magnetization in Bohr magnetons per cell: 2.464
D(E_F) in states/eV/cell: 4.9

a = 4.0394 Å, b = 4.0394 Å, c = 5.4086 Å
α = 90.00°, β = 90.00°, γ = 90.00°
Space group P4/mmm (No. 123)
Unique sites:
Mg1 0.0000 0.0000 0.0000 x1
W1 0.5000 0.5000 0.0000 x1
Au1 0.5000 0.5000 0.5000 x1
C1 0.0000 0.5000 0.5000 x2

***

#ii
VASP calculation (PBE) on a relaxed MgWAuC2 crystal.

Calculated values
Magnetization in Bohr magnetons per cell: 0.000
D(E_F) in states/eV/cell: 2.4

a = 4.0647 Å, b = 4.0647 Å, c = 5.2633 Å
α = 90.00°, β = 90.00°, γ = 90.00°
Space group P4/mmm (No. 123)
Unique sites:
Mg1 0.0000 0.0000 0.0000 x1
W1 0.5000 0.5000 0.5000 x1
Au1 0.5000 0.5000 0.0000 x1
C1 0.0000 0.5000 0.5000 x2

***

Of them, #ii has the highest stability.

***

#i
VASP calculation (PBE) on a relaxed MnAuC2 crystal.

Calculated values
Magnetization in Bohr magnetons per cell: 0.000
D(E_F) in states/eV/cell: 6.3

a = 4.6647 Å, b = 4.6647 Å, c = 9.0292 Å
α = 90.00°, β = 90.00°, γ = 90.00°
Space group I-42d (No. 122)
Unique sites:
Mn1 0.0000 0.0000 0.0000 x4
Au1 0.0000 0.0000 0.5000 x4
C1 0.1835 0.2500 0.1250 x8

***

#ii
VASP calculation (PBE) on a relaxed MnAuC2 crystal.

Calculated values
Magnetization in Bohr magnetons per cell: 10.548
D(E_F) in states/eV/cell: 9.5

a = 5.5473 Å, b = 5.5473 Å, c = 5.5473 Å
α = 90.00°, β = 90.00°, γ = 90.00°
Space group Fm-3m (No. 225)
Unique sites:
Mn1 0.0000 0.0000 0.0000 x4
Au1 0.0000 0.0000 0.5000 x4
C1 0.2500 0.2500 0.2500 x8

***

Of them, #i has the highest stability.